Entry 1:
PBEsol Ca2TeP, optimized geometry; SG = I-42d (122); total moment = 0.00 μB/cell; relative energy among the computed polymorphs = 0.00 kcal/mol of atoms; E_tot = -4.396 eV per atom
1.0
-3.943 3.943 3.483
3.943 -3.943 3.483
3.943 3.943 -3.483
Ca Te P
4 2 2
Cartesian
1.972 1.696 -0.871 Ca
2.247 -1.972 4.354 Ca
1.972 2.247 2.612 Ca
1.696 5.915 0.871 Ca
3.943 0.000 1.741 Te
0.000 0.000 3.483 Te
0.000 0.000 0.000 P
0.000 3.943 1.741 P



Entry 2:
PBEsol CaTeP2, optimized geometry; SG = C2/m (12); total moment = 0.00 μB/cell; E_tot = -4.503 eV per atom
1.0
2.932 -3.870 0.000
2.932 3.870 0.000
-1.958 0.000 4.023
Ca Te P
1 1 2
Cartesian
0.000 0.000 0.000 Ca
2.932 0.000 0.000 Te
0.487 1.935 2.011 P
0.487 -1.935 2.011 P



Entry 3:
PBEsol CaTeP2, optimized geometry; SG = I4/mmm (139); total moment = 0.00 μB/cell; E_tot = -4.430 eV per atom
1.0
-2.058 2.058 4.906
2.058 -2.058 4.906
2.058 2.058 -4.906
Ca Te P
1 1 2
Cartesian
0.000 0.000 0.000 Ca
0.000 0.000 4.906 Te
2.058 0.000 2.453 P
0.000 2.058 2.453 P



Entry 4:
PBEsol CaTeP2, optimized geometry; SG = P4mm (99); total moment = 0.00 μB/cell; E_tot = -4.504 eV per atom
1.0
3.868 0.000 0.000
0.000 3.868 0.000
0.000 0.000 5.869
Ca Te P
1 1 2
Cartesian
0.000 0.000 0.000 Ca
1.934 1.934 4.709 Te
0.000 0.000 2.704 P
1.934 1.934 2.110 P



Entry 5:
PBEsol CaTeP2, optimized geometry; SG = Pm (6); total moment = 0.00 μB/cell; E_tot = -4.797 eV per atom
1.0
4.641 0.000 0.000
0.000 3.757 0.000
-2.266 0.000 5.244
Ca Te P
1 1 2
Cartesian
0.000 0.000 0.000 Ca
-0.003 1.878 4.192 Te
1.798 0.000 2.327 P
2.882 1.878 1.498 P



Entry 6:
PBEsol Ca2TeP, optimized geometry; SG = I-4m2 (119); total moment = 0.00 μB/cell; relative energy among the computed polymorphs = 1.16 kcal/mol of atoms; E_tot = -4.345 eV per atom
1.0
-2.115 2.115 5.556
2.115 -2.115 5.556
2.115 2.115 -5.556
Ca Te P
2 1 1
Cartesian
0.000 0.000 0.000 Ca
0.000 2.115 2.778 Ca
2.115 0.000 2.778 Te
0.000 0.000 5.556 P